one | Below is crystalline NbVCrCuSi at its relaxed geometry, with properties calculated at the PBE level.

As for the total magnetization: 0.00 μB per cell.

It has space group Imm2 (No. 44), with a = 3.213 Å, b = 3.881 Å, c = 11.169 Å, α = 90.00°, β = 90.00° and γ = 90.00°. The asymmetric unit holds Nb at (0.000, 0.000, 0.000), V at (0.000, 0.500, 0.733), Cr at (0.000, 0.500, 0.248), Cu at (0.000, 0.000, 0.396) and Si at (0.000, 0.000, 0.592).

=====

two | Below is crystalline NbVCrCuSi at its relaxed geometry, with properties calculated at the PBE level.

As for the total magnetization: 0.00 μB per cell.

It has space group Cm (No. 8), with a = 12.569 Å, b = 3.990 Å, c = 2.766 Å, α = 90.00°, β = 98.67° and γ = 90.00°. The asymmetric unit holds Nb at (0.000, 0.000, 0.000), V at (0.207, 0.000, 0.794), Cr at (0.113, 0.500, 0.460), Cu at (0.398, 0.000, 0.428) and Si at (0.297, 0.500, 0.316).

=====

Most stable one: one, least stable one: two.

=====

one | Below is crystalline NbVCrCuSi at its relaxed geometry, with properties calculated at the PBE level.

As for the total magnetization: 0.00 μB per cell.

It has space group Cm (No. 8), with a = 13.104 Å, b = 3.913 Å, c = 2.663 Å, α = 90.00°, β = 90.97° and γ = 90.00°. The asymmetric unit holds Nb at (0.000, 0.000, 0.000), V at (0.207, 0.000, 0.911), Cr at (0.305, 0.500, 0.188), Cu at (0.117, 0.500, 0.475) and Si at (0.385, 0.000, 0.565).

=====

two | Below is crystalline NbVCrCuSi at its relaxed geometry, with properties calculated at the PBE level.

As for the total magnetization: 0.70 μB per cell.

It has space group I4mm (No. 107), with a = 3.258 Å, b = 3.258 Å, c = 13.056 Å, α = 90.00°, β = 90.00° and γ = 90.00°. The asymmetric unit holds Nb at (0.000, 0.000, 0.000), V at (0.000, 0.000, 0.385), Cr at (0.000, 0.000, 0.191), Cu at (0.000, 0.000, 0.790) and Si at (0.000, 0.000, 0.607).

=====

Most stable one: one, least stable one: two.

=====

one | Below is crystalline NbVCrCuSi at its relaxed geometry, with properties calculated at the PBE level.

As for the total magnetization: 0.00 μB per cell.

It has space group Cm (No. 8), with a = 9.417 Å, b = 3.283 Å, c = 5.593 Å, α = 90.00°, β = 125.87° and γ = 90.00°. The asymmetric unit holds Nb at (0.000, 0.000, 0.000), V at (0.037, 0.500, 0.537), Cr at (0.285, 0.500, 0.287), Cu at (0.265, 0.000, 0.961) and Si at (0.267, 0.000, 0.567).

=====

two | Below is crystalline NbVCrCuSi at its relaxed geometry, with properties calculated at the PBE level.

As for the total magnetization: 0.00 μB per cell.

It has space group P1 (No. 1), with a = 2.661 Å, b = 5.043 Å, c = 5.321 Å, α = 88.76°, β = 78.21° and γ = 82.50°. The asymmetric unit holds Nb at (0.000, 0.000, 0.000), V at (0.322, 0.801, 0.483), Cr at (0.482, 0.207, 0.497), Cu at (0.721, 0.516, 0.816) and Si at (0.050, 0.482, 0.199).

=====

three | Below is crystalline NbVCrCuSi at its relaxed geometry, with properties calculated at the PBE level.

As for the total magnetization: 0.00 μB per cell.

It has space group Cm (No. 8), with a = 12.707 Å, b = 4.035 Å, c = 2.653 Å, α = 90.00°, β = 91.10° and γ = 90.00°. The asymmetric unit holds Nb at (0.000, 0.000, 0.000), V at (0.203, 0.000, 0.841), Cr at (0.299, 0.500, 0.119), Cu at (0.390, 0.000, 0.523) and Si at (0.116, 0.500, 0.440).

=====

Most stable one: one, least stable one: two.

=====

one | Below is crystalline CrCuNi6 at its relaxed geometry, with properties calculated at the PBE level.

As for the total magnetization: 0.05 μB per cell.

It has space group P4/mmm (No. 123), with a = 3.542 Å, b = 3.542 Å, c = 7.038 Å, α = 90.00°, β = 90.00° and γ = 90.00°. The asymmetric unit holds Cr at (0.000, 0.000, 0.000), Cu at (0.000, 0.000, 0.500), Ni at (0.000, 0.500, 0.246), Ni at (0.500, 0.500, 0.000) and Ni at (0.500, 0.500, 0.500).

=====

two | Below is crystalline CrCuNi6 at its relaxed geometry, with properties calculated at the PBE level.

As for the total magnetization: 1.52 μB per cell.

It has space group Cmmm (No. 65), with a = 7.071 Å, b = 9.985 Å, c = 10.001 Å, α = 90.00°, β = 90.00° and γ = 90.00°. The asymmetric unit holds Cr at (0.000, 0.000, 0.245), Cr at (0.000, 0.247, 0.500), Cu at (0.000, 0.252, 0.000), Cu at (0.000, 0.500, 0.250), Ni at (0.000, 0.000, 0.000), Ni at (0.000, 0.000, 0.500), Ni at (0.000, 0.248, 0.253), Ni at (0.000, 0.500, 0.000), Ni at (0.000, 0.500, 0.500), Ni at (0.247, 0.124, 0.127) and Ni at (0.247, 0.126, 0.376).

=====

Most stable one: one, least stable one: two.